Here is an optimized crystal structure of TiSb2IBr from Alexandria. Energies are from PBE.

Geometry as POSCAR:
```
TiSb2IBr
1.0
5.3625 0.0000 0.0000
0.0000 5.3625 0.0000
0.0000 0.0000 5.3057
Ti Sb I Br
1 2 1 1
direct
0.0000 0.0000 0.0000 Ti
0.0000 0.5000 0.0000 Sb
0.5000 0.0000 0.0000 Sb
0.0000 0.0000 0.5000 I
0.5000 0.5000 0.5000 Br
```

## Properties
Uncorrected formation energy: -12 meV/atom
ΔE to the lowest computed polymorph: 0 meV/atom
Symmetry: P4/mmm
DFT total energy: -3.88 eV/atom